(1)
# Pm6ErIn2, optimized geometry, DFT GGA-PBE
data_Pm6ErIn2
_chemical_formula_sum 'Pm6 Er1 In2'
_cell_length_a 4.8462
_cell_length_b 6.1002
_cell_length_c 10.5688
_cell_angle_alpha 73.75
_cell_angle_beta 76.75
_cell_angle_gamma 66.60
_space_group_name_H-M_alt 'P 1'
_space_group_IT_number 1
loop_
_space_group_symop_operation_xyz
'x,y,z'
loop_
_atom_site_label
_atom_site_type_symbol
_atom_site_fract_x
_atom_site_fract_y
_atom_site_fract_z
_atom_site_occupancy
In1 In 0.6595 0.8954 0.7856 1
In2 In 0.3405 0.1046 0.2144 1
Pm1 Pm 0.9928 0.3378 0.6765 1
Pm2 Pm 0.3277 0.7903 0.5542 1
Pm3 Pm 0.0072 0.6622 0.3235 1
Pm4 Pm 0.6696 0.5524 0.1085 1
Pm5 Pm 0.6723 0.2097 0.4458 1
Pm6 Pm 0.3304 0.4476 0.8915 1
Er1 Er 0.0000 0.0000 0.0000 1
# D(E_F)   1.191 states/eV/atom
# E_form   -1.9 eV/f.u.
# Offset from the most stable computed form   0 meV per atom
# Symmetry   C2/m (12)
# Total moment   0.00 μB/f.u.



(2)
# CsLi2NiSe, optimized geometry, DFT GGA-PBE
data_CsLi2NiSe
_chemical_formula_sum 'Cs1 Li2 Ni1 Se1'
_cell_length_a 5.0171
_cell_length_b 5.1785
_cell_length_c 5.0171
_cell_angle_alpha 90.00
_cell_angle_beta 90.00
_cell_angle_gamma 90.00
_space_group_name_H-M_alt 'P 1'
_space_group_IT_number 1
loop_
_space_group_symop_operation_xyz
'x,y,z'
loop_
_atom_site_label
_atom_site_type_symbol
_atom_site_fract_x
_atom_site_fract_y
_atom_site_fract_z
_atom_site_occupancy
Li1 Li 0.0000 0.0000 0.5000 1
Li2 Li 0.5000 0.0000 0.0000 1
Ni1 Ni 0.0000 0.0000 0.0000 1
Cs1 Cs 0.0000 0.5000 0.0000 1
Se1 Se 0.5000 0.5000 0.5000 1
# Energy relative to the elements, uncorrected   19.58 kJ per mole of atoms
# D(E_F)   0.187 states/eV/atom
# Symmetry   P4/mmm (123)
# Total moment   0.00 μB/f.u.



(3)
# Sr3Au5I12, optimized geometry, DFT GGA-PBE
data_Sr3Au5I12
_chemical_formula_sum 'Sr12 Au20 I48'
_cell_length_a 15.8598
_cell_length_b 15.8598
_cell_length_c 15.8598
_cell_angle_alpha 109.47
_cell_angle_beta 109.47
_cell_angle_gamma 109.47
_space_group_name_H-M_alt 'P 1'
_space_group_IT_number 1
loop_
_space_group_symop_operation_xyz
'x,y,z'
loop_
_atom_site_label
_atom_site_type_symbol
_atom_site_fract_x
_atom_site_fract_y
_atom_site_fract_z
_atom_site_occupancy
I1 I 0.1764 0.0904 0.9663 1
I2 I 0.1240 0.4140 0.0904 1
I3 I 0.3236 0.5337 0.4096 1
I4 I 0.5860 0.8760 0.4096 1
I5 I 0.9096 0.8236 0.5337 1
I6 I 0.3236 0.7900 0.4140 1
I7 I 0.5337 0.2100 0.1240 1
I8 I 0.6240 0.0337 0.2100 1
I9 I 0.8236 0.9140 0.2900 1
I10 I 0.1764 0.0860 0.7100 1
I11 I 0.0860 0.9096 0.3760 1
I12 I 0.4663 0.6764 0.0904 1
I13 I 0.7900 0.3236 0.9140 1
I14 I 0.7100 0.1240 0.0337 1
I15 I 0.2900 0.8760 0.9663 1
I16 I 0.0337 0.6240 0.7100 1
I17 I 0.5337 0.3236 0.9096 1
I18 I 0.3760 0.4096 0.0860 1
I19 I 0.6764 0.2100 0.5860 1
I20 I 0.4140 0.1240 0.5904 1
I21 I 0.5860 0.7100 0.6764 1
I22 I 0.8760 0.5860 0.9096 1
I23 I 0.4096 0.0337 0.3236 1
I24 I 0.7900 0.4663 0.3760 1
I25 I 0.7100 0.5860 0.1764 1
I26 I 0.9663 0.3760 0.2900 1
I27 I 0.0337 0.4096 0.8236 1
I28 I 0.4140 0.2900 0.3236 1
I29 I 0.9140 0.8236 0.7900 1
I30 I 0.2900 0.4140 0.8236 1
I31 I 0.6240 0.5904 0.9140 1
I32 I 0.0904 0.1764 0.4663 1
I33 I 0.5904 0.6240 0.4140 1
I34 I 0.0904 0.9140 0.1240 1
I35 I 0.4096 0.3760 0.5860 1
I36 I 0.9140 0.0904 0.6240 1
I37 I 0.8760 0.2900 0.4663 1
I38 I 0.3760 0.9663 0.7900 1
I39 I 0.4663 0.7900 0.8760 1
I40 I 0.0860 0.1764 0.2100 1
I41 I 0.8236 0.9096 0.0337 1
I42 I 0.1240 0.7100 0.5337 1
I43 I 0.6764 0.4663 0.5904 1
I44 I 0.9096 0.0860 0.8760 1
I45 I 0.9663 0.5904 0.1764 1
I46 I 0.2100 0.5337 0.6240 1
I47 I 0.5904 0.9663 0.6764 1
I48 I 0.2100 0.6764 0.0860 1
Au1 Au 0.5000 0.0000 0.5000 1
Au2 Au 0.5000 0.5000 0.5000 1
Au3 Au 0.1250 0.3750 0.2500 1
Au4 Au 0.8750 0.2500 0.6250 1
Au5 Au 0.2500 0.8750 0.1250 1
Au6 Au 0.5000 0.5000 0.0000 1
Au7 Au 0.0000 0.0000 0.5000 1
Au8 Au 0.7500 0.1250 0.8750 1
Au9 Au 0.3750 0.1250 0.7500 1
Au10 Au 0.2500 0.3750 0.6250 1
Au11 Au 0.6250 0.7500 0.8750 1
Au12 Au 0.8750 0.6250 0.7500 1
Au13 Au 0.0000 0.5000 0.0000 1
Au14 Au 0.0000 0.5000 0.5000 1
Au15 Au 0.3750 0.2500 0.1250 1
Au16 Au 0.6250 0.8750 0.2500 1
Au17 Au 0.1250 0.7500 0.3750 1
Au18 Au 0.5000 0.0000 0.0000 1
Au19 Au 0.0000 0.0000 0.0000 1
Au20 Au 0.7500 0.6250 0.3750 1
Sr1 Sr 0.3750 0.7500 0.6250 1
Sr2 Sr 0.7500 0.8750 0.6250 1
Sr3 Sr 0.7500 0.3750 0.1250 1
Sr4 Sr 0.8750 0.1250 0.2500 1
Sr5 Sr 0.1250 0.2500 0.8750 1
Sr6 Sr 0.3750 0.6250 0.2500 1
Sr7 Sr 0.8750 0.7500 0.1250 1
Sr8 Sr 0.1250 0.8750 0.7500 1
Sr9 Sr 0.2500 0.1250 0.3750 1
Sr10 Sr 0.6250 0.3750 0.7500 1
Sr11 Sr 0.2500 0.6250 0.8750 1
Sr12 Sr 0.6250 0.2500 0.3750 1
# Energy relative to the elements, uncorrected   -65.53 kJ per mole of atoms
# D(E_F)   0.541 states/eV/atom
# Symmetry   Ia-3d (230)
# Total moment   0.00 μB/f.u.



(4)
# Co4Ni7Pd, optimized geometry, DFT GGA-PBE
data_Co4Ni7Pd
_chemical_formula_sum 'Co4 Ni7 Pd1'
_cell_length_a 4.4047
_cell_length_b 7.8126
_cell_length_c 5.0210
_cell_angle_alpha 83.39
_cell_angle_beta 63.98
_cell_angle_gamma 73.63
_space_group_name_H-M_alt 'P 1'
_space_group_IT_number 1
loop_
_space_group_symop_operation_xyz
'x,y,z'
loop_
_atom_site_label
_atom_site_type_symbol
_atom_site_fract_x
_atom_site_fract_y
_atom_site_fract_z
_atom_site_occupancy
Co1 Co 0.5828 0.2266 0.6079 1
Co2 Co 0.2846 0.3116 0.1192 1
Co3 Co 0.7154 0.6884 0.8808 1
Co4 Co 0.4172 0.7734 0.3921 1
Ni1 Ni 0.9594 0.3823 0.6989 1
Ni2 Ni 0.3436 0.5514 0.7614 1
Ni3 Ni 0.7859 0.9103 0.5178 1
Ni4 Ni 0.5000 0.0000 0.0000 1
Ni5 Ni 0.2141 0.0897 0.4822 1
Ni6 Ni 0.0406 0.6177 0.3011 1
Ni7 Ni 0.6564 0.4486 0.2386 1
Pd1 Pd 0.0000 0.0000 0.0000 1
# D(E_F)   1.365 states/eV/atom
# E_form   4.8 eV/f.u.
# Symmetry   C2/m (12)
# Total moment   12.01 μB/f.u.



(5)
# K3TmPu3Te8, optimized geometry, DFT GGA-PBE
data_K3TmPu3Te8
_chemical_formula_sum 'K3 Tm1 Pu3 Te8'
_cell_length_a 8.9634
_cell_length_b 8.9626
_cell_length_c 9.8017
_cell_angle_alpha 117.22
_cell_angle_beta 90.00
_cell_angle_gamma 120.01
_space_group_name_H-M_alt 'P 1'
_space_group_IT_number 1
loop_
_space_group_symop_operation_xyz
'x,y,z'
loop_
_atom_site_label
_atom_site_type_symbol
_atom_site_fract_x
_atom_site_fract_y
_atom_site_fract_z
_atom_site_occupancy
K1 K 0.5000 0.5000 0.0000 1
K2 K 0.0000 0.5000 0.0000 1
K3 K 0.0000 0.0000 0.0000 1
Te1 Te 0.2628 0.0292 0.2958 1
Te2 Te 0.7664 0.0292 0.2958 1
Te3 Te 0.7360 0.4721 0.7080 1
Te4 Te 0.7663 0.5327 0.2958 1
Te5 Te 0.2640 0.5279 0.2920 1
Te6 Te 0.7372 0.9708 0.7042 1
Te7 Te 0.2336 0.9708 0.7042 1
Te8 Te 0.2337 0.4673 0.7042 1
Tm1 Tm 0.0000 0.0000 0.5000 1
Pu1 Pu 0.5000 0.5000 0.5000 1
Pu2 Pu 0.0000 0.5000 0.5000 1
Pu3 Pu 0.5000 0.0000 0.5000 1
# Energy relative to the elements, uncorrected   -107.76 kJ per mole of atoms
# D(E_F)   2.502 states/eV/atom
# Symmetry   R-3m (166)
# Total moment   14.00 μB/f.u.



(6)
# ReAu, optimized geometry, DFT GGA-PBE
data_ReAu
_chemical_formula_sum 'Re4 Au4'
_cell_length_a 4.5628
_cell_length_b 4.9939
_cell_length_c 5.6495
_cell_angle_alpha 90.00
_cell_angle_beta 90.00
_cell_angle_gamma 90.00
_space_group_name_H-M_alt 'P 1'
_space_group_IT_number 1
loop_
_space_group_symop_operation_xyz
'x,y,z'
loop_
_atom_site_label
_atom_site_type_symbol
_atom_site_fract_x
_atom_site_fract_y
_atom_site_fract_z
_atom_site_occupancy
Au1 Au 0.2500 0.5977 0.3785 1
Au2 Au 0.7500 0.9023 0.8785 1
Au3 Au 0.2500 0.0977 0.1215 1
Au4 Au 0.7500 0.4023 0.6215 1
Re1 Re 0.2500 0.0727 0.6207 1
Re2 Re 0.7500 0.4274 0.1207 1
Re3 Re 0.2500 0.5726 0.8793 1
Re4 Re 0.7500 0.9274 0.3793 1
# D(E_F)   0.504 states/eV/atom
# E_form   1.0 eV/f.u.
# Offset from the most stable computed form   366 meV per atom
# Symmetry   Pnma (62)
# Total moment   0.00 μB/f.u.



(7)
# MgTa2Ir, optimized geometry, DFT GGA-PBE
data_MgTa2Ir
_chemical_formula_sum 'Mg1 Ta2 Ir1'
_cell_length_a 5.3597
_cell_length_b 5.3597
_cell_length_c 2.8226
_cell_angle_alpha 81.03
_cell_angle_beta 81.03
_cell_angle_gamma 118.58
_space_group_name_H-M_alt 'P 1'
_space_group_IT_number 1
loop_
_space_group_symop_operation_xyz
'x,y,z'
loop_
_atom_site_label
_atom_site_type_symbol
_atom_site_fract_x
_atom_site_fract_y
_atom_site_fract_z
_atom_site_occupancy
Ir1 Ir 0.5000 0.0000 0.5000 1
Ta1 Ta 0.5000 0.5000 0.0000 1
Ta2 Ta 0.0000 0.0000 0.0000 1
Mg1 Mg 0.0000 0.5000 0.5000 1
# D(E_F)   0.692 states/eV/atom
# E_form   -0.2 eV/f.u.
# Symmetry   C2/m (12)
# Total moment   0.00 μB/f.u.



(8)
# Ac3PrTlRh, optimized geometry, DFT GGA-PBE
data_Ac3PrTlRh
_chemical_formula_sum 'Ac6 Pr2 Tl2 Rh2'
_cell_length_a 9.2012
_cell_length_b 9.2012
_cell_length_c 6.7438
_cell_angle_alpha 104.80
_cell_angle_beta 104.80
_cell_angle_gamma 49.89
_space_group_name_H-M_alt 'P 1'
_space_group_IT_number 1
loop_
_space_group_symop_operation_xyz
'x,y,z'
loop_
_atom_site_label
_atom_site_type_symbol
_atom_site_fract_x
_atom_site_fract_y
_atom_site_fract_z
_atom_site_occupancy
Ac1 Ac 0.8755 0.3675 0.0732 1
Ac2 Ac 0.6325 0.1245 0.9268 1
Ac3 Ac 0.1795 0.1795 0.6057 1
Ac4 Ac 0.8205 0.8205 0.3943 1
Ac5 Ac 0.1245 0.6325 0.9268 1
Ac6 Ac 0.3675 0.8755 0.0732 1
Pr1 Pr 0.7118 0.2882 0.5000 1
Pr2 Pr 0.2882 0.7118 0.5000 1
Tl1 Tl 0.6860 0.6860 0.6910 1
Tl2 Tl 0.3140 0.3140 0.3090 1
Rh1 Rh 0.9941 0.9941 0.7701 1
Rh2 Rh 0.0059 0.0059 0.2299 1
# D(E_F)   0.822 states/eV/atom
# E_form   -2.1 eV/f.u.
# Symmetry   C2/m (12)
# Total moment   0.00 μB/f.u.



(9)
# Ca2As2I, optimized geometry, DFT GGA-PBE
data_Ca2As2I
_chemical_formula_sum 'Ca4 As4 I2'
_cell_length_a 8.3928
_cell_length_b 8.3928
_cell_length_c 4.0379
_cell_angle_alpha 90.00
_cell_angle_beta 90.00
_cell_angle_gamma 90.00
_space_group_name_H-M_alt 'P 1'
_space_group_IT_number 1
loop_
_space_group_symop_operation_xyz
'x,y,z'
loop_
_atom_site_label
_atom_site_type_symbol
_atom_site_fract_x
_atom_site_fract_y
_atom_site_fract_z
_atom_site_occupancy
Ca1 Ca 0.8292 0.6708 0.0000 1
Ca2 Ca 0.3292 0.8292 0.0000 1
Ca3 Ca 0.1708 0.3292 0.0000 1
Ca4 Ca 0.6708 0.1708 0.0000 1
I1 I 0.5000 0.5000 0.0000 1
I2 I 0.0000 0.0000 0.0000 1
As1 As 0.1022 0.6022 0.5000 1
As2 As 0.8978 0.3978 0.5000 1
As3 As 0.3978 0.1022 0.5000 1
As4 As 0.6022 0.8978 0.5000 1
# Energy relative to the elements, uncorrected   -91.65 kJ per mole of atoms
# D(E_F)   0.777 states/eV/atom
# Offset from the most stable computed form   0 meV per atom
# Symmetry   P4/mbm (127)
# Total moment   0.00 μB/f.u.



(10)
# DyY3Ho2Bi6, optimized geometry, DFT GGA-PBE
data_DyY3Ho2Bi6
_chemical_formula_sum 'Dy1 Y3 Ho2 Bi6'
_cell_length_a 7.7525
_cell_length_b 7.7525
_cell_length_c 7.7458
_cell_angle_alpha 99.59
_cell_angle_beta 99.59
_cell_angle_gamma 120.00
_space_group_name_H-M_alt 'P 1'
_space_group_IT_number 1
loop_
_space_group_symop_operation_xyz
'x,y,z'
loop_
_atom_site_label
_atom_site_type_symbol
_atom_site_fract_x
_atom_site_fract_y
_atom_site_fract_z
_atom_site_occupancy
Bi1 Bi 0.7488 0.7488 0.2484 1
Bi2 Bi 0.5831 0.9171 0.7514 1
Bi3 Bi 0.4169 0.0829 0.2486 1
Bi4 Bi 0.0829 0.4169 0.2486 1
Bi5 Bi 0.9171 0.5831 0.7514 1
Bi6 Bi 0.2512 0.2512 0.7516 1
Y1 Y 0.1664 0.8336 0.5000 1
Y2 Y 0.8336 0.1664 0.5000 1
Y3 Y 0.5000 0.5000 0.5000 1
Dy1 Dy 0.0000 0.0000 0.0000 1
Ho1 Ho 0.6667 0.3333 0.0000 1
Ho2 Ho 0.3333 0.6667 0.0000 1
# D(E_F)   0.184 states/eV/atom
# E_form   -10.4 eV/f.u.
# Symmetry   C2/m (12)
# Total moment   0.00 μB/f.u.



(11)
# LiCa2P3Pt12, optimized geometry, DFT GGA-PBE
data_LiCa2P3Pt12
_chemical_formula_sum 'Li1 Ca2 P3 Pt12'
_cell_length_a 7.4760
_cell_length_b 7.4760
_cell_length_c 7.4760
_cell_angle_alpha 67.21
_cell_angle_beta 67.21
_cell_angle_gamma 67.21
_space_group_name_H-M_alt 'P 1'
_space_group_IT_number 1
loop_
_space_group_symop_operation_xyz
'x,y,z'
loop_
_atom_site_label
_atom_site_type_symbol
_atom_site_fract_x
_atom_site_fract_y
_atom_site_fract_z
_atom_site_occupancy
Pt1 Pt 0.6359 0.1267 0.1267 1
Pt2 Pt 0.8733 0.8733 0.3641 1
Pt3 Pt 0.1267 0.6359 0.1267 1
Pt4 Pt 0.3435 0.3435 0.8993 1
Pt5 Pt 0.1267 0.1267 0.6359 1
Pt6 Pt 0.3435 0.8993 0.3435 1
Pt7 Pt 0.6565 0.1007 0.6565 1
Pt8 Pt 0.6565 0.6565 0.1007 1
Pt9 Pt 0.3641 0.8733 0.8733 1
Pt10 Pt 0.1007 0.6565 0.6565 1
Pt11 Pt 0.8993 0.3435 0.3435 1
Pt12 Pt 0.8733 0.3641 0.8733 1
P1 P 0.5000 0.0000 0.0000 1
P2 P 0.0000 0.5000 0.0000 1
P3 P 0.0000 0.0000 0.5000 1
Li1 Li 0.0000 0.0000 0.0000 1
Ca1 Ca 0.6110 0.6110 0.6110 1
Ca2 Ca 0.3890 0.3890 0.3890 1
# D(E_F)   0.337 states/eV/atom
# E_form   -7.2 eV/f.u.
# Symmetry   R-3m (166)
# Total moment   0.00 μB/f.u.



(12)
# Ba2TaVCd, optimized geometry, DFT GGA-PBE
data_Ba2TaVCd
_chemical_formula_sum 'Ba2 Ta1 V1 Cd1'
_cell_length_a 6.3015
_cell_length_b 5.3793
_cell_length_c 6.3015
_cell_angle_alpha 90.00
_cell_angle_beta 90.00
_cell_angle_gamma 90.00
_space_group_name_H-M_alt 'P 1'
_space_group_IT_number 1
loop_
_space_group_symop_operation_xyz
'x,y,z'
loop_
_atom_site_label
_atom_site_type_symbol
_atom_site_fract_x
_atom_site_fract_y
_atom_site_fract_z
_atom_site_occupancy
Cd1 Cd 0.0000 0.0000 0.0000 1
Ta1 Ta 0.0000 0.5000 0.0000 1
Ba1 Ba 0.0000 0.0000 0.5000 1
Ba2 Ba 0.5000 0.0000 0.0000 1
V1 V 0.5000 0.5000 0.5000 1
# D(E_F)   3.418 states/eV/atom
# E_form   8.9 eV/f.u.
# Symmetry   P4/mmm (123)
# Total moment   3.92 μB/f.u.